Compound: BeTcWF2
Source: Alexandria via LeMat-Bulk
Functional: GGA+U
Structure: relaxed

It has space group P4/mmm (No. 123), with a = 4.0067 Å, b = 4.0067 Å, c = 5.0362 Å, α = 90.00°, β = 90.00° and γ = 90.00°. Symmetry generates all atoms from Be at (0.0000, 0.0000, 0.0000), Tc at (0.5000, 0.5000, 0.0000), W at (0.0000, 0.0000, 0.5000) and F at (0.0000, 0.5000, 0.5000).

The value obtained for the calculated density is 6.8 Mg/m³. The value obtained for the total energy is -4.615 eV/atom.